# Tb2Tm2Ga4Au, relaxed, DFT PBE
data_Tb2Tm2Ga4Au
_chemical_formula_sum 'Tb4 Tm4 Ga8 Au2'
_symmetry_space_group_name_H-M 'I 4/m m m'
_symmetry_Int_Tables_number 139
_symmetry_space_group_name_Hall '-I 4 2'
_cell_length_a 6.997
_cell_length_b 6.997
_cell_length_c 8.805
_cell_angle_alpha 90.00
_cell_angle_beta 90.00
_cell_angle_gamma 90.00
loop_
_atom_site_label
_atom_site_type_symbol
_atom_site_fract_x
_atom_site_fract_y
_atom_site_fract_z
Tb1 Tb 0.000 0.500 0.250
Tm1 Tm 0.000 0.000 0.186
Ga1 Ga 0.245 0.245 0.000
Au1 Au 0.000 0.000 0.500
# theoretical density	8.7	g/cm3
# DFT total energy	-4.089	eV/atom
# energy of formation	-34.5	kJ per mole of atoms
# Fermi-level density of states	13.33	states/eV per cell